No. 1
Entry from the Alexandria database: SrZr3Te after structural relaxation (PBE).

Output
As for the crystal system: cubic. The symmetry is Pm-3m. The value obtained for the distance to the lowest polymorph of the same formula is 29.747 kcal/mol of atoms. For the uncorrected energy, the calculation gives -4.44 eV per atom. The calculation puts the formation energy (no corrections) at 1.654 eV/atom.

abc: 5.2180 5.2180 5.2180
angles: 90.00 90.00 90.00
Fractional coordinates of all 5 atoms:
Sr 0.0000 0.0000 0.0000
Te 0.5000 0.5000 0.5000
Zr 0.0000 0.5000 0.0000
Zr 0.0000 0.0000 0.5000
Zr 0.5000 0.0000 0.0000



No. 2
Entry from the Alexandria database: SrZr4Te8 after structural relaxation (PBE).

Output
As for the crystal system: monoclinic. The symmetry is C2/m. For the uncorrected energy, the calculation gives -5.70 eV per atom. The calculation puts the formation energy (no corrections) at -1.008 eV/atom.

abc: 8.0306 8.0306 9.1214
angles: 102.28 103.20 119.95
Fractional coordinates of all 13 atoms:
Sr 0.0000 0.5000 0.5000
Zr 0.2394 0.2394 0.0000
Zr 0.7606 0.7606 0.0000
Zr 0.2459 0.7533 0.9992
Zr 0.7541 0.2467 0.0008
Te 0.6907 0.0193 0.2201
Te 0.2008 0.5294 0.2201
Te 0.6885 0.5246 0.2130
Te 0.1972 0.0265 0.2237
Te 0.8028 0.9735 0.7763
Te 0.3115 0.4754 0.7870
Te 0.7992 0.4706 0.7799
Te 0.3093 0.9807 0.7799



No. 3
Entry from the Alexandria database: SrZrTe3 after structural relaxation (PBE).

Output
As for the crystal system: cubic. The symmetry is Pm-3m. The value obtained for the distance to the lowest polymorph of the same formula is 0.000 kcal/mol of atoms. For the uncorrected energy, the calculation gives -4.83 eV per atom. The calculation puts the formation energy (no corrections) at -0.897 eV/atom.

abc: 5.6510 5.6510 5.6510
angles: 90.00 90.00 90.00
Fractional coordinates of all 5 atoms:
Sr 0.5000 0.5000 0.5000
Te 0.0000 0.5000 0.0000
Te 0.0000 0.0000 0.5000
Te 0.5000 0.0000 0.0000
Zr 0.0000 0.0000 0.0000



No. 4
Entry from the Alexandria database: Sr4Th after structural relaxation (PBE).

Output
As for the crystal system: cubic. The symmetry is Pm-3m. For the uncorrected energy, the calculation gives -2.11 eV per atom.

abc: 6.5103 6.5103 6.5103
angles: 90.00 90.00 90.00
Fractional coordinates of all 5 atoms:
Sr 0.0000 0.0000 0.0000
Sr 0.5000 0.0000 0.5000
Sr 0.0000 0.5000 0.5000
Sr 0.5000 0.5000 0.0000
Th 0.5000 0.5000 0.5000



No. 5
Entry from the Alexandria database: SrTh2 after structural relaxation (PBE).

Output
As for the crystal system: cubic. The symmetry is Fd-3m. For the uncorrected energy, the calculation gives -5.16 eV per atom.

abc: 6.9218 6.9218 6.9218
angles: 60.00 60.00 60.00
Fractional coordinates of all 6 atoms:
Sr 0.0000 0.0000 0.0000
Sr 0.2500 0.2500 0.2500
Th 0.1250 0.6250 0.6250
Th 0.6250 0.1250 0.6250
Th 0.6250 0.6250 0.6250
Th 0.6250 0.6250 0.1250



No. 6
Entry from the Alexandria database: Sr4ThTl5 after structural relaxation (PBE).

Output
As for the crystal system: tetragonal. The symmetry is P4/mmm. For the uncorrected energy, the calculation gives -2.93 eV per atom.

abc: 4.0294 4.0294 20.4866
angles: 90.00 90.00 90.00
Fractional coordinates of all 10 atoms:
Sr 0.0000 0.0000 0.1961
Sr 0.0000 0.0000 0.3985
Sr 0.0000 0.0000 0.6015
Sr 0.0000 0.0000 0.8039
Th 0.0000 0.0000 0.0000
Tl 0.5000 0.5000 0.0929
Tl 0.5000 0.5000 0.2979
Tl 0.5000 0.5000 0.5000
Tl 0.5000 0.5000 0.7021
Tl 0.5000 0.5000 0.9071



No. 7
Entry from the Alexandria database: Sr2ThTl9 after structural relaxation (PBE).

Output
As for the crystal system: tetragonal. The symmetry is P4/mmm. For the uncorrected energy, the calculation gives -2.89 eV per atom.

abc: 4.9171 4.9171 14.8076
angles: 90.00 90.00 90.00
Fractional coordinates of all 12 atoms:
Sr 0.0000 0.0000 0.3287
Sr 0.0000 0.0000 0.6713
Th 0.0000 0.0000 0.0000
Tl 0.5000 0.5000 0.0000
Tl 0.5000 0.5000 0.3359
Tl 0.5000 0.5000 0.6641
Tl 0.5000 0.0000 0.1620
Tl 0.5000 0.0000 0.5000
Tl 0.5000 0.0000 0.8380
Tl 0.0000 0.5000 0.1620
Tl 0.0000 0.5000 0.5000
Tl 0.0000 0.5000 0.8380



No. 8
Entry from the Alexandria database: SrTh2Tl9 after structural relaxation (PBE).

Output
As for the crystal system: tetragonal. The symmetry is P4/mmm. For the uncorrected energy, the calculation gives -3.34 eV per atom.

abc: 4.8433 4.8433 14.8169
angles: 90.00 90.00 90.00
Fractional coordinates of all 12 atoms:
Sr 0.0000 0.0000 0.0000
Th 0.0000 0.0000 0.3419
Th 0.0000 0.0000 0.6581
Tl 0.5000 0.5000 0.0000
Tl 0.5000 0.5000 0.3344
Tl 0.5000 0.5000 0.6656
Tl 0.5000 0.0000 0.1721
Tl 0.5000 0.0000 0.5000
Tl 0.5000 0.0000 0.8279
Tl 0.0000 0.5000 0.1721
Tl 0.0000 0.5000 0.5000
Tl 0.0000 0.5000 0.8279



No. 9
Entry from the Alexandria database: SrThTl6 after structural relaxation (PBE).

Output
As for the crystal system: tetragonal. The symmetry is P4/mmm. For the uncorrected energy, the calculation gives -3.11 eV per atom.

abc: 4.8843 4.8843 9.8303
angles: 90.00 90.00 90.00
Fractional coordinates of all 8 atoms:
Sr 0.0000 0.0000 0.0000
Th 0.0000 0.0000 0.5000
Tl 0.5000 0.5000 0.0000
Tl 0.5000 0.5000 0.5000
Tl 0.5000 0.0000 0.2546
Tl 0.5000 0.0000 0.7454
Tl 0.0000 0.5000 0.2546
Tl 0.0000 0.5000 0.7454



No. 10
Entry from the Alexandria database: SrThTlZn after structural relaxation (PBE).

Output
As for the crystal system: cubic. The symmetry is F-43m. For the uncorrected energy, the calculation gives -3.27 eV per atom.

abc: 5.4945 5.4945 5.4945
angles: 60.00 60.00 60.00
Fractional coordinates of all 4 atoms:
Sr 0.2500 0.2500 0.2500
Tl 0.5000 0.5000 0.5000
Zn 0.0000 0.0000 0.0000
Th 0.7500 0.7500 0.7500



No. 11
Entry from the Alexandria database: SrTmTh2 after structural relaxation (PBE).

Output
As for the crystal system: trigonal. The symmetry is R-3m. For the uncorrected energy, the calculation gives -4.95 eV per atom.

abc: 3.5438 3.5438 13.1632
angles: 82.26 82.26 60.00
Fractional coordinates of all 4 atoms:
Sr 0.0000 0.0000 0.0000
Tm 0.5000 0.5000 0.5000
Th 0.0921 0.0921 0.7238
Th 0.9079 0.9079 0.2762



No. 12
Entry from the Alexandria database: SrYTh after structural relaxation (PBE).

Output
As for the crystal system: orthorhombic. The symmetry is Amm2. The value obtained for the distance to the lowest polymorph of the same formula is 1.136 kcal/mol of atoms. For the uncorrected energy, the calculation gives -4.96 eV per atom.

abc: 3.6930 3.6922 18.7842
angles: 90.00 90.00 120.01
Fractional coordinates of all 6 atoms:
Y 0.6119 0.2239 0.0000
Y 0.2775 0.5549 0.5000
Th 0.6110 0.2219 0.3479
Th 0.6110 0.2219 0.6521
Sr 0.2776 0.5553 0.8288
Sr 0.2776 0.5553 0.1712



No. 13
Entry from the Alexandria database: SrY2Th after structural relaxation (PBE).

Output
As for the crystal system: trigonal. The symmetry is R-3m. The value obtained for the distance to the lowest polymorph of the same formula is 2.221 kcal/mol of atoms. For the uncorrected energy, the calculation gives -5.32 eV per atom.

abc: 3.6337 3.6337 12.8354
angles: 81.86 81.86 60.00
Fractional coordinates of all 4 atoms:
Y 0.0937 0.0937 0.7188
Y 0.9063 0.9063 0.2812
Sr 0.0000 0.0000 0.0000
Th 0.5000 0.5000 0.5000



No. 14
Entry from the Alexandria database: SrYTh after structural relaxation (PBE).

Output
As for the crystal system: tetragonal. The symmetry is I4mm. The value obtained for the distance to the lowest polymorph of the same formula is 0.000 kcal/mol of atoms. For the uncorrected energy, the calculation gives -5.01 eV per atom.

abc: 3.6468 3.6468 8.8704
angles: 101.86 101.86 90.00
Fractional coordinates of all 3 atoms:
Y 0.3180 0.3180 0.6360
Sr 0.0018 0.0018 0.0036
Th 0.6802 0.6802 0.3604



No. 15
Entry from the Alexandria database: SrYTh after structural relaxation (PBE).

Output
As for the crystal system: trigonal. The symmetry is P3m1. The value obtained for the distance to the lowest polymorph of the same formula is 0.288 kcal/mol of atoms. For the uncorrected energy, the calculation gives -5.00 eV per atom.

abc: 3.7082 3.7082 9.3391
angles: 90.00 90.00 120.00
Fractional coordinates of all 3 atoms:
Y 0.3333 0.6667 0.6455
Sr 0.0000 0.0000 0.0040
Th 0.6667 0.3333 0.3506



No. 16
Entry from the Alexandria database: SrY2Th after structural relaxation (PBE).

Output
As for the crystal system: tetragonal. The symmetry is P4/mmm. The value obtained for the distance to the lowest polymorph of the same formula is 0.000 kcal/mol of atoms. For the uncorrected energy, the calculation gives -5.42 eV per atom.

abc: 3.6997 3.6997 10.6673
angles: 90.00 90.00 90.00
Fractional coordinates of all 4 atoms:
Y 0.0000 0.0000 0.7844
Y 0.0000 0.0000 0.2156
Sr 0.5000 0.5000 0.5000
Th 0.5000 0.5000 0.0000



No. 17
Entry from the Alexandria database: SrThZn after structural relaxation (PBE).

Output
As for the crystal system: tetragonal. The symmetry is I4mm. The value obtained for the distance to the lowest polymorph of the same formula is 0.000 kcal/mol of atoms. For the uncorrected energy, the calculation gives -3.42 eV per atom.

abc: 3.7301 3.7301 7.3612
angles: 104.68 104.68 90.00
Fractional coordinates of all 3 atoms:
Sr 0.9782 0.9782 0.9563
Zn 0.3201 0.3201 0.6401
Th 0.7018 0.7018 0.4036



No. 18
Entry from the Alexandria database: SrThZn4 after structural relaxation (PBE).

Output
As for the crystal system: cubic. The symmetry is F-43m. The value obtained for the distance to the lowest polymorph of the same formula is 3.186 kcal/mol of atoms. For the uncorrected energy, the calculation gives -2.50 eV per atom.

abc: 5.6579 5.6579 5.6579
angles: 60.00 60.00 60.00
Fractional coordinates of all 6 atoms:
Sr 0.2500 0.2500 0.2500
Zn 0.6262 0.6262 0.1213
Zn 0.6262 0.1213 0.6262
Zn 0.6262 0.6262 0.6262
Zn 0.1213 0.6262 0.6262
Th 0.0000 0.0000 0.0000



No. 19
Entry from the Alexandria database: SrThZn4 after structural relaxation (PBE).

Output
As for the crystal system: hexagonal. The symmetry is P6/mmm. The value obtained for the distance to the lowest polymorph of the same formula is 0.000 kcal/mol of atoms. For the uncorrected energy, the calculation gives -2.64 eV per atom.

abc: 4.6097 4.6102 7.8031
angles: 90.00 90.01 120.00
Fractional coordinates of all 6 atoms:
Sr 0.0041 0.4994 0.4982
Th 0.0040 0.4994 0.9982
Zn 0.6707 0.8328 0.2071
Zn 0.3372 0.1661 0.7891
Zn 0.6706 0.8327 0.7891
Zn 0.3374 0.1662 0.2071



No. 20
Entry from the Alexandria database: SrThZn after structural relaxation (PBE).

Output
As for the crystal system: orthorhombic. The symmetry is Amm2. The value obtained for the distance to the lowest polymorph of the same formula is 3.642 kcal/mol of atoms. For the uncorrected energy, the calculation gives -3.26 eV per atom.

abc: 3.7294 3.7312 16.0904
angles: 90.00 90.00 119.98
Fractional coordinates of all 6 atoms:
Zn 0.6123 0.2246 0.0000
Zn 0.2768 0.5536 0.5000
Th 0.6100 0.2199 0.3578
Th 0.6100 0.2199 0.6422
Sr 0.2788 0.5575 0.8478
Sr 0.2788 0.5575 0.1522